[1]
# SrLa2Cd4

A relaxed SrLa2Cd4 crystal (PBE, Alexandria via LeMat-Bulk).

Values from the calculation:
Space group ... R-3m (166)
E_tot ... -2.293 eV per atom
Energy of formation from the pure elements ... -0.85 eV/f.u.
Density of states at the Fermi level ... 5.71 states/eV/f.u.

abc: 5.500 5.500 9.387
angles: 72.96 72.96 60.00
Positions (direct):
Sr 0.000 0.000 0.000
La 0.751 0.751 0.746
La 0.249 0.249 0.254
Cd 0.874 0.874 0.377
Cd 0.126 0.126 0.623
Cd 0.612 0.612 0.163
Cd 0.388 0.388 0.837

[2]
# SrLaCd3

A relaxed SrLaCd3 crystal (PBE, Alexandria via LeMat-Bulk).

Values from the calculation:
Space group ... Pm-3m (221)
E_tot ... -1.548 eV per atom
Energy of formation from the pure elements ... 1.62 eV/f.u.
Density of states at the Fermi level ... 6.31 states/eV/f.u.

abc: 5.956 5.956 5.956
angles: 90.00 90.00 90.00
Positions (direct):
Sr 0.500 0.500 0.500
Cd 0.000 0.500 0.000
Cd 0.000 0.000 0.500
Cd 0.500 0.000 0.000
La 0.000 0.000 0.000

[3]
# SrLaCd

A relaxed SrLaCd crystal (PBE, Alexandria via LeMat-Bulk).

Values from the calculation:
Space group ... P3m1 (156)
E_tot ... -2.529 eV per atom
Energy of formation from the pure elements ... -0.06 eV/f.u.
Density of states at the Fermi level ... 3.26 states/eV/f.u.

abc: 5.592 5.592 3.918
angles: 90.00 90.00 120.00
Positions (direct):
Cd 0.000 0.000 0.013
La 0.667 0.333 0.276
Sr 0.333 0.667 0.711

[4]
# SrLa2Cd6

A relaxed SrLa2Cd6 crystal (PBE, Alexandria via LeMat-Bulk).

Values from the calculation:
Space group ... P6/mmm (191)
E_tot ... -2.246 eV per atom
Energy of formation from the pure elements ... -3.19 eV/f.u.
Density of states at the Fermi level ... 6.40 states/eV/f.u.

abc: 3.610 8.920 8.920
angles: 120.00 90.00 90.00
Positions (direct):
Sr 0.000 0.000 0.000
La 0.000 0.333 0.667
La 0.000 0.667 0.333
Cd 0.500 0.335 0.335
Cd 0.500 0.665 0.665
Cd 0.500 0.000 0.665
Cd 0.500 0.665 0.000
Cd 0.500 0.335 0.000
Cd 0.500 0.000 0.335

Q: Which formula does entry 3 have?
A: SrLaCd

What did the first record say?
# SrLa2Cd4

A relaxed SrLa2Cd4 crystal (PBE, Alexandria via LeMat-Bulk).

Values from the calculation:
Space group ... R-3m (166)
E_tot ... -2.293 eV per atom
Energy of formation from the pure elements ... -0.85 eV/f.u.
Density of states at the Fermi level ... 5.71 states/eV/f.u.

abc: 5.500 5.500 9.387
angles: 72.96 72.96 60.00
Positions (direct):
Sr 0.000 0.000 0.000
La 0.751 0.751 0.746
La 0.249 0.249 0.254
Cd 0.874 0.874 0.377
Cd 0.126 0.126 0.623
Cd 0.612 0.612 0.163
Cd 0.388 0.388 0.837